# 1
TaFeIr2 (GGA-PBEsol, relaxed); E = -41.13 eV/cell; crystal system = trigonal; space-group type = No. 160; ρ = 18.07 g/cm³
1.0
1.366 0.788 8.838
-1.366 0.788 8.838
0.000 -1.577 8.838
Ta Fe Ir
1 1 2
Cartesian
0.000 0.000 0.000
0.000 0.000 19.948
0.000 0.000 6.575
0.000 0.000 13.110

=====

# 2
TaFeIr (GGA-PBEsol, relaxed); E = -30.32 eV/cell; crystal system = cubic; space-group type = No. 216; ρ = 14.29 g/cm³
1.0
0.000 2.921 2.921
2.921 0.000 2.921
2.921 2.921 0.000
Ta Fe Ir
1 1 1
Cartesian
0.000 0.000 0.000
1.460 1.460 1.460
4.381 4.381 4.381

=====

# 3
TaFeIr2 (GGA-PBEsol, relaxed); E = -43.15 eV/cell; crystal system = tetragonal; space-group type = No. 123; ρ = 18.59 g/cm³
1.0
3.837 0.000 0.000
0.000 3.837 0.000
0.000 0.000 3.768
Ta Fe Ir
1 1 2
Cartesian
0.000 0.000 0.000
1.919 1.919 0.000
0.000 1.919 1.884
1.919 0.000 1.884

=====

# 4
TaFeIr (GGA-PBEsol, relaxed); E = -30.61 eV/cell; crystal system = cubic; space-group type = No. 216; ρ = 13.71 g/cm³
1.0
0.000 2.962 2.962
2.962 0.000 2.962
2.962 2.962 0.000
Ta Fe Ir
1 1 1
Cartesian
0.000 0.000 0.000
2.962 2.962 2.962
1.481 1.481 1.481

=====

# 5
FeTcIr2 (GGA-PBEsol, relaxed); E = -40.37 eV/cell; crystal system = tetragonal; space-group type = No. 123; ρ = 16.73 g/cm³
1.0
2.685 0.000 0.000
0.000 2.685 0.000
0.000 0.000 7.409
Fe Tc Ir
1 1 2
Cartesian
0.000 0.000 0.000
0.000 0.000 3.705
1.343 1.343 1.815
1.343 1.343 5.594

=====

# 6
Fe4TcIr (GGA-PBEsol, relaxed); E = -57.09 eV/cell; crystal system = cubic; space-group type = No. 216; ρ = 12.35 g/cm³
1.0
0.000 3.256 3.256
3.256 0.000 3.256
3.256 3.256 0.000
Fe Tc Ir
4 1 1
Cartesian
0.813 0.813 0.813
2.443 2.443 0.813
2.443 0.813 2.443
0.813 2.443 2.443
3.256 3.256 3.256
4.884 4.884 4.884

=====

# 7
Fe2TcIr (GGA-PBEsol, relaxed); E = -39.07 eV/cell; crystal system = orthorhombic; space-group type = No. 25; ρ = 13.63 g/cm³
1.0
2.624 0.000 0.000
0.000 3.612 0.000
0.000 0.000 5.166
Fe Tc Ir
2 1 1
Cartesian
0.000 0.000 0.000
1.312 1.806 1.160
1.312 1.806 3.940
0.000 0.000 2.496

=====

# 8
FeTeIr (GGA-PBEsol, relaxed); crystal system = trigonal; formation energy (no corrections) = 425 meV/atom; space-group type = No. 156; ρ = 11.80 g/cm³
1.0
3.732 0.000 0.000
-1.866 3.232 0.000
0.000 0.000 4.383
Fe Te Ir
1 1 1
Cartesian
0.000 0.000 0.000
1.866 1.077 1.698
0.000 2.155 3.406

=====

# 9
FeTeIr4 (GGA-PBEsol, relaxed); crystal system = cubic; formation energy (no corrections) = 659 meV/atom; space-group type = No. 216; ρ = 16.07 g/cm³
1.0
0.000 3.665 3.665
3.665 0.000 3.665
3.665 3.665 0.000
Fe Te Ir
1 1 4
Cartesian
0.000 0.000 0.000
1.832 1.832 1.832
4.585 2.744 2.744
2.744 4.585 2.744
2.744 2.744 4.585
4.585 4.585 4.585

=====

# 10
Ti2FeIr (GGA-PBEsol, relaxed); E = -38.07 eV/cell; crystal system = cubic; space-group type = No. 225; ρ = 10.42 g/cm³
1.0
0.000 3.015 3.015
3.015 0.000 3.015
3.015 3.015 0.000
Ti Fe Ir
2 1 1
Cartesian
1.507 1.507 1.507
4.522 4.522 4.522
0.000 0.000 0.000
3.015 3.015 3.015

=====

# 11
TiFeIr3 (GGA-PBEsol, relaxed); E = -39.48 eV/cell; crystal system = cubic; space-group type = No. 221; ρ = 12.53 g/cm³
1.0
4.484 0.000 0.000
0.000 4.484 0.000
0.000 0.000 4.484
Ti Fe Ir
1 1 3
Cartesian
0.000 0.000 0.000
2.242 2.242 2.242
0.000 0.000 2.242
0.000 2.242 0.000
2.242 0.000 0.000

=====

# 12
TlFeIr (GGA-PBEsol, relaxed); E = -19.79 eV/cell; crystal system = trigonal; space-group type = No. 156; ρ = 15.63 g/cm³
1.0
2.902 0.000 0.000
-1.451 2.513 0.000
0.000 0.000 6.591
Tl Fe Ir
1 1 1
Cartesian
0.000 0.000 0.000
1.451 0.838 4.316
0.000 1.675 2.399

=====

# 13
Fe4IrW (GGA-PBEsol, relaxed); E = -60.11 eV/cell; crystal system = cubic; space-group type = No. 216; ρ = 14.23 g/cm³
1.0
0.000 3.270 3.270
3.270 0.000 3.270
3.270 3.270 0.000
Fe Ir W
4 1 1
Cartesian
2.458 2.458 2.458
4.082 4.082 2.458
4.082 2.458 4.082
2.458 4.082 4.082
4.905 4.905 4.905
0.000 0.000 0.000

=====

# 14
FeIrW (GGA-PBEsol, relaxed); E = -31.21 eV/cell; crystal system = cubic; space-group type = No. 216; ρ = 15.14 g/cm³
1.0
0.000 2.872 2.872
2.872 0.000 2.872
2.872 2.872 0.000
Fe Ir W
1 1 1
Cartesian
0.000 0.000 0.000
2.872 2.872 2.872
1.436 1.436 1.436

=====

# 15
Y2FeIr (GGA-PBEsol, relaxed); E = -33.70 eV/cell; crystal system = trigonal; space-group type = No. 160; ρ = 7.44 g/cm³
1.0
2.020 1.166 6.726
-2.020 1.166 6.726
0.000 -2.332 6.726
Y Fe Ir
2 1 1
Cartesian
0.000 0.000 0.000
0.000 0.000 3.633
0.000 0.000 15.327
0.000 0.000 8.489

=====

# 16
YFeIr2 (GGA-PBEsol, relaxed); E = -35.17 eV/cell; crystal system = cubic; space-group type = No. 216; ρ = 13.71 g/cm³
1.0
0.000 3.176 3.176
3.176 0.000 3.176
3.176 3.176 0.000
Y Fe Ir
1 1 2
Cartesian
0.000 0.000 0.000
1.588 1.588 1.588
3.176 3.176 3.176
4.765 4.765 4.765

=====

# 17
YFeIr2 (GGA-PBEsol, relaxed); E = -35.58 eV/cell; crystal system = monoclinic; space-group type = No. 12; ρ = 13.68 g/cm³
1.0
4.531 -1.450 0.000
4.531 1.450 0.000
-1.100 0.000 4.888
Y Fe Ir
1 1 2
Cartesian
0.000 0.000 0.000
3.981 0.000 2.444
1.377 0.000 3.467
6.585 0.000 1.421

=====

# 18
Y2FeIr (GGA-PBEsol, relaxed); E = -32.22 eV/cell; crystal system = orthorhombic; space-group type = No. 25; ρ = 8.90 g/cm³
1.0
3.154 0.000 0.000
0.000 4.489 0.000
0.000 0.000 5.615
Y Fe Ir
2 1 1
Cartesian
0.000 0.000 0.000
1.577 2.244 2.117
0.000 0.000 2.922
1.577 2.244 4.845

=====

# 19
ZnFeIr2 (GGA-PBEsol, relaxed); E = -30.00 eV/cell; crystal system = orthorhombic; space-group type = No. 71; ρ = 15.53 g/cm³
1.0
-1.369 2.285 4.320
1.369 -2.285 4.320
1.369 2.285 -4.320
Zn Fe Ir
1 1 2
Cartesian
0.000 0.000 0.000
0.000 0.000 4.320
1.369 0.000 2.213
0.000 2.285 2.106

=====

# 20
ZnFeIr2 (GGA-PBEsol, relaxed); E = -30.56 eV/cell; crystal system = trigonal; space-group type = No. 166; ρ = 15.81 g/cm³
1.0
1.351 0.780 8.397
-1.351 0.780 8.397
0.000 -1.560 8.397
Zn Fe Ir
1 1 2
Cartesian
0.000 0.000 0.000
0.000 0.000 12.595
0.000 0.000 6.230
0.000 0.000 18.960

=====

# 21
ZnFeIr2 (GGA-PBEsol, relaxed); E = -30.24 eV/cell; crystal system = orthorhombic; space-group type = No. 25; ρ = 15.91 g/cm³
1.0
2.683 0.000 0.000
0.000 3.794 0.000
0.000 0.000 5.184
Zn Fe Ir
1 1 2
Cartesian
0.000 0.000 0.000
1.342 1.897 1.326
0.000 0.000 2.520
1.342 1.897 3.917

=====

# 22
ZnFe2Ir (GGA-PBEsol, relaxed); E = -29.41 eV/cell; crystal system = orthorhombic; space-group type = No. 65; ρ = 12.35 g/cm³
1.0
2.563 -3.701 0.000
2.563 3.701 0.000
0.000 0.000 2.619
Zn Fe Ir
1 2 1
Cartesian
0.000 0.000 0.000
1.281 1.851 1.309
1.281 -1.851 1.309
2.563 0.000 0.000

=====

# 23
ZnFe2Ir (GGA-PBEsol, relaxed); E = -29.30 eV/cell; crystal system = tetragonal; space-group type = No. 119; ρ = 12.32 g/cm³
1.0
-1.858 1.858 3.604
1.858 -1.858 3.604
1.858 1.858 -3.604
Zn Fe Ir
1 2 1
Cartesian
0.000 0.000 0.000
0.000 0.000 3.604
0.000 1.858 1.802
1.858 0.000 1.802

=====

# 24
ZnFeIr2 (GGA-PBEsol, relaxed); E = -30.42 eV/cell; crystal system = monoclinic; space-group type = No. 12; ρ = 15.77 g/cm³
1.0
4.292 -1.347 0.000
4.292 1.347 0.000
-0.866 0.000 4.607
Zn Fe Ir
1 1 2
Cartesian
0.000 0.000 0.000
3.860 0.000 2.303
1.459 0.000 3.428
6.260 0.000 1.179

=====

# 25
ZnFe2Ir (GGA-PBEsol, relaxed); E = -29.38 eV/cell; crystal system = tetragonal; space-group type = No. 123; ρ = 12.21 g/cm³
1.0
3.648 0.000 0.000
0.000 3.648 0.000
0.000 0.000 3.773
Zn Fe Ir
1 2 1
Cartesian
0.000 0.000 0.000
0.000 1.824 1.886
1.824 0.000 1.886
1.824 1.824 0.000

=====

# 26
ZnFe2Ir (GGA-PBEsol, relaxed); E = -29.36 eV/cell; crystal system = monoclinic; space-group type = No. 8; ρ = 12.39 g/cm³
1.0
4.285 -1.323 0.000
4.285 1.323 0.000
-0.938 0.000 4.366
Zn Fe Ir
1 2 1
Cartesian
0.000 0.000 0.000
1.402 0.000 3.297
3.833 0.000 2.230
6.239 0.000 1.172

=====

# 27
ZnFeIr2 (GGA-PBEsol, relaxed); E = -30.21 eV/cell; crystal system = tetragonal; space-group type = No. 119; ρ = 16.06 g/cm³
1.0
-1.844 1.844 3.845
1.844 -1.844 3.845
1.844 1.844 -3.845
Zn Fe Ir
1 1 2
Cartesian
0.000 0.000 0.000
0.000 1.844 1.923
1.844 0.000 1.923
0.000 0.000 3.845

=====

# 28
ZnFe2Ir (GGA-PBEsol, relaxed); E = -28.99 eV/cell; crystal system = orthorhombic; space-group type = No. 35; ρ = 12.06 g/cm³
1.0
1.396 -2.190 0.000
1.396 2.190 0.000
0.000 0.000 8.314
Zn Fe Ir
1 2 1
Cartesian
0.000 0.000 0.000
0.000 0.000 4.352
1.396 0.000 6.241
1.396 0.000 2.225

=====

# 29
ZnFeIr2 (GGA-PBEsol, relaxed); E = -29.87 eV/cell; crystal system = orthorhombic; space-group type = No. 47; ρ = 15.56 g/cm³
1.0
2.763 0.000 0.000
0.000 4.280 0.000
0.000 0.000 4.562
Zn Fe Ir
1 1 2
Cartesian
0.000 0.000 0.000
1.382 0.000 2.281
0.000 2.140 2.281
1.382 2.140 0.000

=====

# 30
ZnFeIr2 (GGA-PBEsol, relaxed); E = -30.27 eV/cell; crystal system = monoclinic; space-group type = No. 8; ρ = 15.93 g/cm³
1.0
4.427 -1.353 0.000
4.427 1.353 0.000
-0.782 0.000 4.399
Zn Fe Ir
1 1 2
Cartesian
0.000 0.000 0.000
6.490 0.000 1.108
1.596 0.000 3.269
4.047 0.000 2.167

=====

# 31
ZnFe3Ir (GGA-PBEsol, relaxed); E = -31.24 eV/cell; crystal system = cubic; space-group type = No. 221; ρ = 7.43 g/cm³
1.0
4.563 0.000 0.000
0.000 4.563 0.000
0.000 0.000 4.563
Zn Fe Ir
1 3 1
Cartesian
0.000 0.000 0.000
0.000 2.282 2.282
2.282 0.000 2.282
2.282 2.282 0.000
2.282 2.282 2.282